[1]
## Sr2TlPtI (PBE)

Data for Sr2TlPtI after structural relaxation.

Cell lengths 6.016, 6.016, 5.219 Å; angles 90.00, 90.00, 90.00 degrees
Fractional coordinates of all 5 atoms:
Sr  0.000  0.500  0.000
Sr  0.500  0.000  0.000
Tl  0.000  0.000  0.500
Pt  0.000  0.000  0.000
I  0.500  0.500  0.500

ΔE_f (raw): -0.748 eV/atom
total DFT energy (no corrections): -17.1 eV per cell



[2]
## MnSi2Ru4 (PBE)

Data for MnSi2Ru4 after structural relaxation.

Cell lengths 7.096, 7.096, 7.096 Å; angles 33.55, 33.55, 33.55 degrees
Fractional coordinates of all 7 atoms:
Mn  0.000  0.000  0.000
Si  0.249  0.249  0.249
Si  0.751  0.751  0.751
Ru  0.127  0.127  0.127
Ru  0.374  0.374  0.374
Ru  0.626  0.626  0.626
Ru  0.873  0.873  0.873

ΔE_f (raw): -0.293 eV/atom
total DFT energy (no corrections): -59.2 eV per cell



[3]
## TaRu2N (PBE)

Data for TaRu2N after structural relaxation.

Cell lengths 6.024, 6.024, 6.024 Å; angles 90.00, 90.00, 90.00 degrees
Fractional coordinates of all 16 atoms:
Ta  0.000  0.000  0.000
Ta  0.000  0.500  0.500
Ta  0.500  0.000  0.500
Ta  0.500  0.500  0.000
Ru  0.250  0.250  0.250
Ru  0.250  0.250  0.750
Ru  0.250  0.750  0.250
Ru  0.250  0.750  0.750
Ru  0.750  0.250  0.250
Ru  0.750  0.250  0.750
Ru  0.750  0.750  0.250
Ru  0.750  0.750  0.750
N  0.000  0.000  0.500
N  0.000  0.500  0.000
N  0.500  0.000  0.000
N  0.500  0.500  0.500

ΔE_f (raw): 0.938 eV/atom
total DFT energy (no corrections): -139.9 eV per cell



What did the third record say?
## TaRu2N (PBE)

Data for TaRu2N after structural relaxation.

Cell lengths 6.024, 6.024, 6.024 Å; angles 90.00, 90.00, 90.00 degrees
Fractional coordinates of all 16 atoms:
Ta  0.000  0.000  0.000
Ta  0.000  0.500  0.500
Ta  0.500  0.000  0.500
Ta  0.500  0.500  0.000
Ru  0.250  0.250  0.250
Ru  0.250  0.250  0.750
Ru  0.250  0.750  0.250
Ru  0.250  0.750  0.750
Ru  0.750  0.250  0.250
Ru  0.750  0.250  0.750
Ru  0.750  0.750  0.250
Ru  0.750  0.750  0.750
N  0.000  0.000  0.500
N  0.000  0.500  0.000
N  0.500  0.000  0.000
N  0.500  0.500  0.500

ΔE_f (raw): 0.938 eV/atom
total DFT energy (no corrections): -139.9 eV per cell



What did the third record say?
## TaRu2N (PBE)

Data for TaRu2N after structural relaxation.

Cell lengths 6.024, 6.024, 6.024 Å; angles 90.00, 90.00, 90.00 degrees
Fractional coordinates of all 16 atoms:
Ta  0.000  0.000  0.000
Ta  0.000  0.500  0.500
Ta  0.500  0.000  0.500
Ta  0.500  0.500  0.000
Ru  0.250  0.250  0.250
Ru  0.250  0.250  0.750
Ru  0.250  0.750  0.250
Ru  0.250  0.750  0.750
Ru  0.750  0.250  0.250
Ru  0.750  0.250  0.750
Ru  0.750  0.750  0.250
Ru  0.750  0.750  0.750
N  0.000  0.000  0.500
N  0.000  0.500  0.000
N  0.500  0.000  0.000
N  0.500  0.500  0.500

ΔE_f (raw): 0.938 eV/atom
total DFT energy (no corrections): -139.9 eV per cell